{
  "formula": "BeCd2Fe",
  "functional": "PBE",
  "state": "relaxed",
  "lattice_angstrom": [[4.8240, -0.0146, -0.0338], [3.9970, 2.7011, -0.0338], [1.1023, 0.3357, 4.8288]],
  "species": ["Be", "Fe", "Cd", "Cd"],
  "frac_coords": [[0.7500, 0.7500, 0.7500], [0.2500, 0.2500, 0.2500], [0.0132, 0.0132, 0.9933], [0.4868, 0.4868, 0.5067]],
  "ef_ev_per_atom": 0.477,
  "rho_g_cm3": 7.6,
  "total_energy_ev_per_atom": -3.028
}


{
  "formula": "Ba2Sb2Br",
  "functional": "PBE",
  "state": "relaxed",
  "lattice_angstrom": [[4.5941, 0.0000, 0.0000], [0.0000, 4.5941, 0.0000], [2.2971, 2.2971, 9.2902]],
  "species": ["Sb", "Sb", "Ba", "Ba", "Br"],
  "frac_coords": [[0.7500, 0.2500, 0.5000], [0.2500, 0.7500, 0.5000], [0.3878, 0.3878, 0.2244], [0.6122, 0.6122, 0.7756], [0.0000, 0.0000, 0.0000]],
  "rho_g_cm3": 5.1,
  "de_polymorph_ev_per_fu": 0.825,
  "formation_energy_uncorrected_ev_per_atom": -1.04,
  "total_energy_ev_per_atom": -3.798
}


{
  "formula": "Na2PuAgO5",
  "functional": "PBE",
  "state": "relaxed",
  "lattice_angstrom": [[4.2753, 0.0000, 0.0000], [0.0000, 5.6832, 0.0000], [-2.1376, -2.8416, 5.6328]],
  "species": ["Na", "Na", "Pu", "Ag", "O", "O", "O", "O", "O"],
  "frac_coords": [[0.2208, 0.2208, 0.4416], [0.7792, 0.7792, 0.5584], [0.5000, 0.0000, 0.0000], [0.0000, 0.5000, 0.0000], [0.6247, 0.8882, 0.2493], [0.3753, 0.1118, 0.7507], [0.3753, 0.6389, 0.7507], [0.6247, 0.3611, 0.2493], [0.0000, 0.0000, 0.0000]],
  "rho_g_cm3": 5.8,
  "formation_energy_uncorrected_ev_per_atom": -1.71,
  "total_energy_ev_per_atom": -6.667
}


{
  "formula": "CaDyRuRh",
  "functional": "PBE",
  "state": "relaxed",
  "lattice_angstrom": [[-2.0223, -0.0043, 4.3681], [-1.6018, -4.1194, 1.9065], [2.3148, -1.9899, 3.7219]],
  "species": ["Ru", "Ca", "Rh", "Dy"],
  "frac_coords": [[0.5000, 0.5000, 0.5000], [0.2500, 0.2500, 0.2500], [0.0000, 0.0000, 0.0000], [0.7500, 0.7500, 0.7500]],
  "ef_ev_per_atom": -0.249,
  "rho_g_cm3": 8.6,
  "total_energy_ev_per_atom": -6.057
}


{
  "formula": "Ho4GeC",
  "functional": "PBE",
  "state": "relaxed",
  "lattice_angstrom": [[6.2689, -0.3115, 0.0000], [-1.3664, 6.7994, 0.0000], [-2.4512, -3.2439, 6.9277]],
  "species": ["Ho", "Ho", "Ho", "Ho", "Ho", "Ho", "Ho", "Ho", "Ge", "Ge", "C", "C"],
  "frac_coords": [[0.2871, 0.9408, 0.5971], [0.0218, 0.8124, 0.0917], [0.1900, 0.3437, 0.4029], [0.4300, 0.7207, 0.9083], [0.7129, 0.0592, 0.4029], [0.8100, 0.6563, 0.5971], [0.9782, 0.1876, 0.9083], [0.5700, 0.2793, 0.0917], [0.3676, 0.6176, 0.2352], [0.6324, 0.3824, 0.7648], [0.8169, 0.0669, 0.1338], [0.1831, 0.9331, 0.8662]],
  "ef_ev_per_atom": -0.378,
  "rho_g_cm3": 8.5,
  "total_energy_ev_per_atom": -5.737
}


{
  "formula": "Tm8BiTe4As3",
  "functional": "PBE",
  "state": "relaxed",
  "lattice_angstrom": [[8.4300, 0.0000, 0.0000], [0.0000, 8.5213, 0.0587], [-4.2150, -4.2110, 5.9631]],
  "species": ["Tm", "Tm", "Tm", "Tm", "Tm", "Tm", "Tm", "Tm", "Bi", "Te", "Te", "Te", "Te", "As", "As", "As"],
  "frac_coords": [[0.2500, 0.7242, 0.9742], [0.2500, 0.7242, 0.5000], [0.2614, 0.2842, 0.5228], [0.7242, 0.7242, 0.9742], [0.2758, 0.2758, 0.0258], [0.7386, 0.7158, 0.4772], [0.7500, 0.2758, 0.5000], [0.7500, 0.2758, 0.0258], [0.0000, 0.5000, 0.0000], [0.5000, 0.0000, 0.0000], [0.5000, 0.0000, 0.5000], [0.0000, 0.0000, 0.0000], [0.0000, 0.0000, 0.5000], [0.5000, 0.5000, 0.0000], [0.5000, 0.5000, 0.5000], [0.0000, 0.5000, 0.5000]],
  "rho_g_cm3": 8.9,
  "formation_energy_uncorrected_ev_per_atom": -1.30,
  "total_energy_ev_per_atom": -5.439
}


{
  "formula": "AcPmO3",
  "functional": "PBE",
  "state": "relaxed",
  "lattice_angstrom": [[6.0328, 0.0000, 0.0000], [3.0164, 5.2246, 0.0000], [3.0164, 1.7415, 5.7868]],
  "species": ["Ac", "Ac", "Pm", "Pm", "O", "O", "O", "O", "O", "O"],
  "frac_coords": [[0.1411, 0.1411, 0.5767], [0.8589, 0.8589, 0.4233], [0.3513, 0.3513, 0.9462], [0.6487, 0.6487, 0.0538], [0.2768, 0.9515, 0.2452], [0.9515, 0.5264, 0.2452], [0.5264, 0.2768, 0.2452], [0.7232, 0.4736, 0.7548], [0.0485, 0.7232, 0.7548], [0.4736, 0.0485, 0.7548]],
  "rho_g_cm3": 7.6,
  "formation_energy_uncorrected_ev_per_atom": -3.22,
  "total_energy_ev_per_atom": -7.963
}


{
  "formula": "AcInGe2Pt5",
  "functional": "PBE",
  "state": "relaxed",
  "lattice_angstrom": [[4.1792, 0.0000, 0.0000], [0.0000, 4.1792, 0.0000], [0.0000, 0.0000, 11.1775]],
  "species": ["Ac", "In", "Ge", "Ge", "Pt", "Pt", "Pt", "Pt", "Pt"],
  "frac_coords": [[0.0000, 0.0000, 0.5000], [0.0000, 0.0000, 0.0000], [0.5000, 0.5000, 0.2812], [0.5000, 0.5000, 0.7188], [0.0000, 0.5000, 0.1642], [0.5000, 0.0000, 0.1642], [0.0000, 0.5000, 0.8358], [0.5000, 0.0000, 0.8358], [0.5000, 0.5000, 0.5000]],
  "ef_ev_per_atom": -0.583,
  "rho_g_cm3": 12.4,
  "total_energy_ev_per_atom": -5.726
}


{
  "formula": "SrLa",
  "functional": "PBE",
  "state": "relaxed",
  "lattice_angstrom": [[-0.9733, 1.8300, -3.3879], [-2.5755, -0.0848, 3.0221], [5.0226, 11.1761, 4.5938]],
  "species": ["Sr", "Sr", "La", "La"],
  "frac_coords": [[0.0000, 0.0000, 0.4885], [0.6667, 0.3333, 0.7615], [0.0000, 0.0000, 0.0172], [0.6667, 0.3333, 0.2328]],
  "ef_ev_per_atom": 0.081,
  "rho_g_cm3": 4.2,
  "de_polymorph_ev_per_fu": 0.040,
  "total_energy_ev_per_atom": -3.223
}


{
  "formula": "SbRuPb2",
  "functional": "PBE",
  "state": "relaxed",
  "lattice_angstrom": [[10.0157, -0.0404, -0.0238], [9.4512, 3.3154, -0.0238], [9.4512, 1.5900, 2.9093]],
  "species": ["Pb", "Pb", "Ru", "Sb"],
  "frac_coords": [[0.9854, 0.9854, 0.9854], [0.5146, 0.5146, 0.5146], [0.2500, 0.2500, 0.2500], [0.7500, 0.7500, 0.7500]],
  "rho_g_cm3": 10.7,
  "formation_energy_uncorrected_ev_per_atom": 0.37,
  "total_energy_ev_per_atom": -4.836
}


{
  "formula": "EuHgPb2",
  "functional": "PBE",
  "state": "relaxed",
  "lattice_angstrom": [[-0.2709, 1.6623, 5.2463], [-3.1663, -2.7246, 3.5933], [2.3222, -3.0299, 3.9734]],
  "species": ["Pb", "Pb", "Eu", "Hg"],
  "frac_coords": [[0.2500, 0.2500, 0.2500], [0.7500, 0.7500, 0.7500], [0.0000, 0.0000, 0.0000], [0.5000, 0.5000, 0.5000]],
  "ef_ev_per_atom": -0.221,
  "rho_g_cm3": 10.8,
  "de_polymorph_ev_per_fu": 0.589,
  "total_energy_ev_per_atom": -4.719
}


{
  "formula": "Ce3TlSn3",
  "functional": "PBE",
  "state": "relaxed",
  "lattice_angstrom": [[5.6586, 0.0000, 0.0000], [0.0000, 8.9244, 0.0000], [0.0000, -4.4622, 7.7287]],
  "species": ["Ce", "Ce", "Ce", "Ce", "Ce", "Ce", "Tl", "Tl", "Sn", "Sn", "Sn", "Sn", "Sn", "Sn"],
  "frac_coords": [[0.7500, 0.6397, 0.5491], [0.7500, 0.4509, 0.0906], [0.7500, 0.9094, 0.3603], [0.2500, 0.3603, 0.4509], [0.2500, 0.5491, 0.9094], [0.2500, 0.0906, 0.6397], [0.2500, 0.6667, 0.3333], [0.7500, 0.3333, 0.6667], [0.2500, 0.8110, 0.7633], [0.2500, 0.2367, 0.0477], [0.2500, 0.9523, 0.1890], [0.7500, 0.1890, 0.2367], [0.7500, 0.7633, 0.9523], [0.7500, 0.0477, 0.8110]],
  "ef_ev_per_atom": -0.314,
  "rho_g_cm3": 8.3,
  "total_energy_ev_per_atom": -4.910
}


{
  "formula": "LaAlRu",
  "functional": "PBE",
  "state": "relaxed",
  "lattice_angstrom": [[4.2929, 0.0000, 0.0000], [-2.1465, 3.7178, 0.0000], [0.0000, 0.0000, 4.2681]],
  "species": ["Ru", "Al", "La"],
  "frac_coords": [[0.3333, 0.6667, 0.8334], [0.0000, 0.0000, 0.8333], [0.6667, 0.3333, 0.3333]],
  "ef_ev_per_atom": -0.371,
  "rho_g_cm3": 6.5,
  "total_energy_ev_per_atom": -6.353
}


{
  "formula": "PrTmGa",
  "functional": "PBE",
  "state": "relaxed",
  "lattice_angstrom": [[-2.8771, -2.5743, 0.0469], [1.4557, -1.5446, 4.5177], [-3.3203, 3.7031, -0.4215]],
  "species": ["Pr", "Tm", "Ga"],
  "frac_coords": [[0.6431, 0.6667, 0.3333], [0.1158, 0.0000, 0.0000], [0.2411, 0.3333, 0.6667]],
  "ef_ev_per_atom": -0.263,
  "rho_g_cm3": 7.6,
  "de_polymorph_ev_per_fu": 0.424,
  "total_energy_ev_per_atom": -4.355
}


{
  "formula": "HoTm8Bi2",
  "functional": "PBE",
  "state": "relaxed",
  "lattice_angstrom": [[0.6427, -4.2866, -4.4153], [-3.2341, -4.0541, 6.8614], [-8.4254, 0.5461, 1.6396]],
  "species": ["Ho", "Tm", "Tm", "Tm", "Tm", "Tm", "Tm", "Tm", "Tm", "Bi", "Bi"],
  "frac_coords": [[0.0000, 0.0000, 0.0000], [0.2454, 0.4311, 0.8019], [0.7546, 0.1981, 0.5689], [0.1424, 0.8107, 0.8107], [0.8576, 0.1893, 0.1893], [0.2454, 0.8019, 0.4311], [0.7546, 0.5689, 0.1981], [0.7454, 0.5878, 0.5878], [0.2546, 0.4122, 0.4122], [0.6161, 0.7833, 0.7833], [0.3839, 0.2167, 0.2167]],
  "ef_ev_per_atom": 0.078,
  "rho_g_cm3": 8.5,
  "total_energy_ev_per_atom": -4.296
}


{
  "formula": "TlSb2CI",
  "functional": "PBE",
  "state": "relaxed",
  "lattice_angstrom": [[-0.5813, -3.6760, 4.4517], [5.6368, 0.6058, 1.2362], [-1.3134, 4.6819, 3.6946]],
  "species": ["I", "Sb", "Sb", "Tl", "C"],
  "frac_coords": [[0.0000, 0.0000, 0.5000], [0.0000, 0.5000, 0.0000], [0.5000, 0.0000, 0.0000], [0.0000, 0.0000, 0.0000], [0.5000, 0.5000, 0.5000]],
  "rho_g_cm3": 4.7,
  "de_polymorph_ev_per_fu": 5.571,
  "formation_energy_uncorrected_ev_per_atom": 2.05,
  "total_energy_ev_per_atom": -2.223
}


{
  "formula": "Li2SmAgI6",
  "functional": "PBE",
  "state": "relaxed",
  "lattice_angstrom": [[7.6458, -0.0006, 0.0001], [3.8224, 6.6201, 0.0003], [3.8219, 2.2065, 7.1713]],
  "species": ["Li", "Li", "Sm", "Ag", "I", "I", "I", "I", "I", "I"],
  "frac_coords": [[0.5240, 0.5239, 0.4284], [0.0023, 0.0026, 0.9931], [0.3303, 0.3302, 0.0093], [0.7492, 0.7493, 0.7519], [0.6083, 0.2529, 0.2212], [0.2529, 0.9176, 0.2212], [0.9177, 0.6084, 0.2211], [0.3977, 0.7536, 0.7228], [0.7536, 0.1255, 0.7230], [0.1256, 0.3975, 0.7231]],
  "rho_g_cm3": 4.7,
  "formation_energy_uncorrected_ev_per_atom": -1.06,
  "total_energy_ev_per_atom": -3.132
}


{
  "formula": "Cd3Pd7Pt",
  "functional": "PBE",
  "state": "relaxed",
  "lattice_angstrom": [[-0.4030, 3.4353, -3.8509], [3.7230, -5.8681, -1.2794], [-5.3555, -4.5276, 0.8664]],
  "species": ["Cd", "Cd", "Cd", "Pd", "Pd", "Pd", "Pd", "Pd", "Pd", "Pd", "Pt"],
  "frac_coords": [[0.0000, 0.7857, 0.2143], [0.5000, 0.0000, 0.0000], [0.0000, 0.2143, 0.7857], [0.3931, 0.2176, 0.2176], [0.3353, 0.0825, 0.5819], [0.6647, 0.4181, 0.9175], [0.3353, 0.5819, 0.0825], [0.0000, 0.5000, 0.5000], [0.6647, 0.9175, 0.4181], [0.6069, 0.7824, 0.7824], [0.5000, 0.5000, 0.5000]],
  "ef_ev_per_atom": -0.003,
  "rho_g_cm3": 10.5,
  "total_energy_ev_per_atom": -4.107
}


{
  "formula": "TlGa5",
  "functional": "PBE",
  "state": "relaxed",
  "lattice_angstrom": [[4.1029, 0.0000, 0.0000], [0.0000, 4.9510, 0.0000], [0.0000, -2.4755, 6.2230]],
  "species": ["Tl", "Ga", "Ga", "Ga", "Ga", "Ga"],
  "frac_coords": [[0.0000, 0.0000, 0.0000], [0.5000, 0.8155, 0.6310], [0.0000, 0.6672, 0.3344], [0.5000, 0.5000, 0.0000], [0.0000, 0.3328, 0.6656], [0.5000, 0.1845, 0.3690]],
  "ef_ev_per_atom": 0.067,
  "rho_g_cm3": 7.3,
  "de_polymorph_ev_per_fu": 0.116,
  "total_energy_ev_per_atom": -2.850
}


{
  "formula": "Tc2IO2",
  "functional": "PBE",
  "state": "relaxed",
  "lattice_angstrom": [[-3.9787, -6.2129, -0.8512], [4.9321, -3.7229, 4.1193], [-1.4873, 0.6304, 2.3506]],
  "species": ["I", "I", "Tc", "Tc", "Tc", "Tc", "O", "O", "O", "O"],
  "frac_coords": [[0.0000, 0.0000, 0.0000], [0.5000, 0.5000, 0.0000], [0.1142, 0.6142, 0.5000], [0.6142, 0.8858, 0.5000], [0.8858, 0.3858, 0.5000], [0.3858, 0.1142, 0.5000], [0.3891, 0.8891, 0.0000], [0.8891, 0.6109, 0.0000], [0.6109, 0.1109, 0.0000], [0.1109, 0.3891, 0.0000]],
  "rho_g_cm3": 7.5,
  "de_polymorph_ev_per_fu": 2.528,
  "formation_energy_uncorrected_ev_per_atom": 0.47,
  "total_energy_ev_per_atom": -5.973
}